(1)
# TaZn2Co | Alexandria via LeMat-Bulk | PBE-GGA | optimized geometry
# D(E_F): 3.6 states/eV/cell
# mass density: 10.8 Mg/m³
# excess energy over the best structure of this formula in the dataset: 181 meV per atom
data_TaZn2Co
_chemical_formula_sum 'Ta1 Zn2 Co1'
_cell_length_a 2.7571
_cell_length_b 3.8677
_cell_length_c 5.3333
_cell_angle_alpha 90.00
_cell_angle_beta 90.00
_cell_angle_gamma 90.00
_space_group_name_H-M_alt 'P m m m'
_space_group_IT_number 47
loop_
_space_group_symop_operation_xyz
'x,y,z'
'-x,-y,-z'
'-x,-y,z'
'x,y,-z'
'x,-y,-z'
'-x,y,z'
'-x,y,-z'
'x,-y,z'
loop_
_atom_site_label
_atom_site_type_symbol
_atom_site_fract_x
_atom_site_fract_y
_atom_site_fract_z
Ta1 Ta 0.0000 0.0000 0.0000
Zn1 Zn 0.5000 0.5000 0.2722
Co1 Co 0.0000 0.0000 0.5000

(2)
# TcPbAu2 | Alexandria via LeMat-Bulk | PBE-GGA | optimized geometry
# D(E_F): 9.3 states/eV/cell
# VASP energy: -0.341 Ry per atom
# mass density: 15.0 Mg/m³
data_TcPbAu2
_chemical_formula_sum 'Tc2 Pb2 Au4'
_cell_length_a 4.2516
_cell_length_b 4.2516
_cell_length_c 8.5466
_cell_angle_alpha 90.00
_cell_angle_beta 90.00
_cell_angle_gamma 90.00
_space_group_name_H-M_alt 'I -4 m 2'
_space_group_IT_number 119
_space_group_name_Hall 'I -4 -2'
loop_
_atom_site_label
_atom_site_type_symbol
_atom_site_fract_x
_atom_site_fract_y
_atom_site_fract_z
Tc1 Tc 0.0000 0.0000 0.0000
Pb1 Pb 0.0000 0.5000 0.2500
Au1 Au 0.0000 0.0000 0.5000
Au2 Au 0.0000 0.5000 0.7500

(3)
# RbRe3F | Alexandria via LeMat-Bulk | PBE-GGA | optimized geometry
# D(E_F): 6.3 states/eV/cell
# E_form (uncorrected): 11.8 eV per formula unit
# mass density: 11.9 Mg/m³
# excess energy over the best structure of this formula in the dataset: 0 meV per atom
data_RbRe3F
_chemical_formula_sum 'Rb1 Re3 F1'
_cell_length_a 4.5293
_cell_length_b 4.5293
_cell_length_c 4.5293
_cell_angle_alpha 90.00
_cell_angle_beta 90.00
_cell_angle_gamma 90.00
_space_group_name_H-M_alt 'P m -3 m'
_space_group_IT_number 221
_space_group_name_Hall '-P 4 2 3'
loop_
_atom_site_label
_atom_site_type_symbol
_atom_site_fract_x
_atom_site_fract_y
_atom_site_fract_z
Rb1 Rb 0.0000 0.0000 0.0000
Re1 Re 0.0000 0.5000 0.5000
F1 F 0.5000 0.5000 0.5000

Question: Which value of mass density does entry 3 give?
Answer: 11.9 Mg/m³

Copy entry 2 word for word.
# TcPbAu2 | Alexandria via LeMat-Bulk | PBE-GGA | optimized geometry
# D(E_F): 9.3 states/eV/cell
# VASP energy: -0.341 Ry per atom
# mass density: 15.0 Mg/m³
data_TcPbAu2
_chemical_formula_sum 'Tc2 Pb2 Au4'
_cell_length_a 4.2516
_cell_length_b 4.2516
_cell_length_c 8.5466
_cell_angle_alpha 90.00
_cell_angle_beta 90.00
_cell_angle_gamma 90.00
_space_group_name_H-M_alt 'I -4 m 2'
_space_group_IT_number 119
_space_group_name_Hall 'I -4 -2'
loop_
_atom_site_label
_atom_site_type_symbol
_atom_site_fract_x
_atom_site_fract_y
_atom_site_fract_z
Tc1 Tc 0.0000 0.0000 0.0000
Pb1 Pb 0.0000 0.5000 0.2500
Au1 Au 0.0000 0.0000 0.5000
Au2 Au 0.0000 0.5000 0.7500

Question: The highest D(E_F) belongs to which entry?
Answer: TcPbAu2